Compound: LiAgTe
Source: OQMD via LeMat-Bulk
Functional: GGA-PBE
Structure: optimized geometry

Cell lengths 10.282, 9.541, 8.287 Å; angles 90.00, 128.23, 90.00 degrees
Space group C2/c (No. 15)
Asymmetric unit:
Li  0.146  0.126  0.043 x8
Ag  0.000  0.500  0.000 x4
Ag  0.250  0.250  0.500 x4
Te  0.206  0.124  0.750 x8

---

Compound: Li2AgTe2
Source: OQMD via LeMat-Bulk
Functional: GGA-PBE
Structure: optimized geometry

Cell lengths 9.230, 4.330, 6.006 Å; angles 90.00, 104.05, 90.00 degrees
Space group C2/m (No. 12)
Asymmetric unit:
Li  0.163  0.000  0.279 x4
Ag  0.000  0.500  0.500 x2
Te  0.150  0.000  0.778 x4

---

Compound: LiThAgTe3
Source: OQMD via LeMat-Bulk
Functional: GGA-PBE
Structure: optimized geometry

Cell lengths 4.372, 14.806, 11.503 Å; angles 90.00, 90.00, 90.00 degrees
Space group Cmcm (No. 63)
Asymmetric unit:
Li  0.000  0.170  0.250 x4
Th  0.000  0.000  0.000 x4
Ag  0.000  0.478  0.750 x4
Te  0.000  0.096  0.750 x4
Te  0.000  0.354  0.565 x8

---

no.,energy (eV/atom)
1,-3.1229
2,-3.1654
3,-4.4674